(1)
{
  "formula": "InTe2PdAuSe",
  "functional": "PBE",
  "state": "optimized geometry",
  "sg": "Cmcm (63)",
  "energy_ev_per_cell": -42.6,
  "lattice_angstrom": [[1.9454, -7.5240, 0.0000], [1.9454, 7.5240, 0.0000], [0.0000, 0.0000, 9.8429]],
  "species": ["In", "In", "Te", "Te", "Te", "Te", "Pd", "Pd", "Au", "Au", "Se", "Se"],
  "fractional_positions": [[0.2446, 0.7554, 0.7500], [0.7554, 0.2446, 0.2500], [0.3622, 0.6378, 0.0416], [0.3622, 0.6378, 0.4584], [0.6378, 0.3622, 0.5416], [0.6378, 0.3622, 0.9584], [0.0000, 0.0000, 0.0000], [0.0000, 0.0000, 0.5000], [0.4794, 0.5206, 0.2500], [0.5206, 0.4794, 0.7500], [0.0964, 0.9036, 0.2500], [0.9036, 0.0964, 0.7500]]
}

(2)
{
  "formula": "Gd3Mg3Al2Pd",
  "functional": "PBE",
  "state": "optimized geometry",
  "magnetic_moment_mub_per_atom": 0.002,
  "sg": "P-62m (189)",
  "energy_ev_per_cell": -35.2,
  "lattice_angstrom": [[7.4240, 0.0000, 0.0000], [-3.7120, 6.4294, 0.0000], [0.0000, 0.0000, 4.4287]],
  "species": ["Gd", "Gd", "Gd", "Mg", "Mg", "Mg", "Al", "Al", "Pd"],
  "fractional_positions": [[0.0000, 0.5895, 0.0000], [0.4105, 0.4105, 0.0000], [0.5895, 0.0000, 0.0000], [0.0000, 0.2370, 0.5000], [0.2370, 0.0000, 0.5000], [0.7630, 0.7630, 0.5000], [0.3333, 0.6667, 0.5000], [0.6667, 0.3333, 0.5000], [0.0000, 0.0000, 0.0000]]
}